w.
Density functional theory data (PBE) for crystalline PrBiPdRh at its relaxed geometry. Values from VASP.

## Properties
spin magnetization	0.0	Bohr magnetons per cell
Fermi-level density of states	0.856	states/eV per atom

```
&SYSTEM
  ibrav = 0, nat = 4, ntyp = 4
/
ATOMIC_SPECIES
Pr 140.91 Pr.upf
Rh 102.91 Rh.upf
Bi 208.98 Bi.upf
Pd 106.42 Pd.upf
CELL_PARAMETERS angstrom
-4.761 -1.239 0.680
-1.234 -4.729 0.885
-1.596 -1.348 4.506
ATOMIC_POSITIONS crystal
Pr 0.250 0.250 0.250
Rh 0.500 0.500 0.500
Bi 0.750 0.750 0.750
Pd 0.000 0.000 0.000
```

x.
Density functional theory data (PBE) for crystalline PrBiPdRh at its relaxed geometry. Values from VASP.

## Properties
spin magnetization	0.0	Bohr magnetons per cell
Fermi-level density of states	0.411	states/eV per atom

```
&SYSTEM
  ibrav = 0, nat = 4, ntyp = 4
/
ATOMIC_SPECIES
Pr 140.91 Pr.upf
Bi 208.98 Bi.upf
Pd 106.42 Pd.upf
Rh 102.91 Rh.upf
CELL_PARAMETERS angstrom
-3.863 -0.621 0.019
2.734 -4.701 -0.748
-0.101 0.769 4.567
ATOMIC_POSITIONS crystal
Pr 0.039 0.078 0.870
Bi 0.274 0.547 0.544
Pd 0.805 0.611 0.128
Rh 0.544 0.089 0.357
```

The relative energies come out as w 0.000; x 0.058, with values in eV/atom.